Record 1
Entry from Alexandria via LeMat-Bulk: crystalline CuSeBr2 at its relaxed geometry (PBE-GGA).

## Properties
Offset from the most stable computed form (meV/atom): 539
Final energy (eV for the cell shown): -9.43

```
4
Lattice="3.046 0.000 0.000 0.000 3.046 0.000 0.000 0.000 11.544" Properties=species:S:1:pos:R:3 pbc="T T T"
Cu 0.000 0.000 0.000
Se 0.000 0.000 5.772
Br 1.523 1.523 1.745
Br 1.523 1.523 9.799
```

***

Record 2
Entry from Alexandria via LeMat-Bulk: crystalline LuGeRh2 at its relaxed geometry (PBE-GGA).

## Properties
Calculated formation energy (meV/atom): -708
Final energy (eV for the cell shown): -26.67

```
4
Lattice="3.297 0.000 0.000 0.000 3.297 0.000 0.000 0.000 6.090" Properties=species:S:1:pos:R:3 pbc="T T T"
Lu 0.000 0.000 0.000
Ge 0.000 0.000 3.045
Rh 1.649 1.649 1.661
Rh 1.649 1.649 4.429
```

***

Record 3
Entry from Alexandria via LeMat-Bulk: crystalline ScBe2Si at its relaxed geometry (PBE-GGA).

## Properties
Final energy (eV for the cell shown): -17.12

```
4
Lattice="1.415 0.817 8.162 -1.415 0.817 8.162 0.000 -1.634 8.162" Properties=species:S:1:pos:R:3 pbc="T T T"
Sc 0.000 0.000 0.000
Be 0.000 0.000 5.861
Be 0.000 0.000 18.624
Si 0.000 0.000 12.243
```

***

Copy entry 1 word for word.
Entry from Alexandria via LeMat-Bulk: crystalline CuSeBr2 at its relaxed geometry (PBE-GGA).

## Properties
Offset from the most stable computed form (meV/atom): 539
Final energy (eV for the cell shown): -9.43

```
4
Lattice="3.046 0.000 0.000 0.000 3.046 0.000 0.000 0.000 11.544" Properties=species:S:1:pos:R:3 pbc="T T T"
Cu 0.000 0.000 0.000
Se 0.000 0.000 5.772
Br 1.523 1.523 1.745
Br 1.523 1.523 9.799
```

***

What is the final energy in the first record?
-9.43 eV for the cell shown

***

Look up the final energy of the third one.
-17.12 eV for the cell shown

***

Which value of final energy does entry 3 give?
-17.12 eV for the cell shown